{"formula": "GaRhW2Se", "functional": "PBE", "state": "relaxed", "lattice_angstrom": [[4.6409, 0.0000, 0.0000], [0.0000, 4.6409, 0.0000], [0.0000, 0.0000, 4.6583]], "species": ["Ga", "Rh", "W", "W", "Se"], "fractional_positions": [[0.0000, 0.0000, 0.0000], [0.5000, 0.5000, 0.5000], [0.0000, 0.5000, 0.0000], [0.5000, 0.0000, 0.0000], [0.0000, 0.0000, 0.5000]], "space_group": "P4/mmm, No. 123"}

---

{"formula": "Zn2GaRhSe", "functional": "PBE", "state": "relaxed", "lattice_angstrom": [[4.5335, 0.0000, 0.0000], [0.0000, 4.5335, 0.0000], [0.0000, 0.0000, 5.2473]], "species": ["Zn", "Zn", "Ga", "Rh", "Se"], "fractional_positions": [[0.0000, 0.5000, 0.0000], [0.5000, 0.0000, 0.0000], [0.0000, 0.0000, 0.0000], [0.5000, 0.5000, 0.5000], [0.0000, 0.0000, 0.5000]], "space_group": "P4/mmm, No. 123"}

---

{"formula": "GaSiRh2", "functional": "PBE", "state": "relaxed", "lattice_angstrom": [[2.9784, 0.0000, 0.0000], [0.0066, 5.6007, 0.0000], [1.4800, 0.7780, 6.9925]], "species": ["Ga", "Ga", "Si", "Si", "Rh", "Rh", "Rh", "Rh"], "fractional_positions": [[0.1135, 0.4969, 0.2726], [0.8865, 0.5031, 0.7274], [0.3625, 0.9120, 0.7700], [0.6375, 0.0880, 0.2300], [0.2644, 0.2366, 0.9749], [0.4843, 0.2451, 0.5336], [0.5157, 0.7549, 0.4664], [0.7356, 0.7634, 0.0251]], "space_group": "P-1, No. 2"}

---

{"formula": "Ga2SiRh", "functional": "PBE", "state": "relaxed", "lattice_angstrom": [[-4.1530, 4.1530, 2.2641], [4.1530, -4.1530, 2.2641], [4.1530, 4.1530, -2.2641]], "species": ["Ga", "Ga", "Ga", "Ga", "Si", "Si", "Rh", "Rh"], "fractional_positions": [[0.0314, 0.6250, 0.9064], [0.3750, 0.2814, 0.4064], [0.7186, 0.1250, 0.0936], [0.8750, 0.9686, 0.5936], [0.2500, 0.7500, 0.5000], [0.5000, 0.5000, 0.0000], [0.0000, 0.0000, 0.0000], [0.7500, 0.2500, 0.5000]], "space_group": "I-42d, No. 122"}

---

no.,formation energy from raw total energies (eV/atom),electronic total energy (eV per atom),M_tot (Bohr magnetons per cell)
1,2.0598,-5.894,0.8
2,0.7690,-2.513,0.9
3,-0.6230,-6.411,0.0
4,-0.0101,-4.717,0.0